! VCu2HF | Alexandria via LeMat-Bulk | PBE with a Hubbard U | optimized geometry; values from VASP
! - magnetic moment (μB per formula unit) = 3.14
! - uncorrected energy (eV per cell) = -22.25
&SYSTEM
  ibrav = 0, nat = 5, ntyp = 4
/
ATOMIC_SPECIES
V 50.94 V.upf
Cu 63.55 Cu.upf
H 1.01 H.upf
F 19.00 F.upf
ATOMIC_POSITIONS angstrom
V 0.000 0.000 0.000
Cu 0.000 1.689 2.584
Cu 1.689 0.000 2.584
H 1.689 1.689 2.584
F 1.689 1.689 0.000
CELL_PARAMETERS angstrom
3.377 0.000 0.000
0.000 3.377 0.000
0.000 0.000 5.169